(1)
# YTaP2, optimized geometry, DFT PBE
data_YTaP2
_space_group_name_H-M_alt 'P 1'
_space_group_IT_number 1
_space_group_name_Hall 'P 1'
_cell_length_a 4.909
_cell_length_b 4.909
_cell_length_c 4.909
_cell_angle_alpha 134.03
_cell_angle_beta 113.49
_cell_angle_gamma 84.62
loop_
_atom_site_label
_atom_site_type_symbol
_atom_site_fract_x
_atom_site_fract_y
_atom_site_fract_z
Y1 Y 0.000 0.000 0.000
Ta1 Ta 0.500 0.500 0.000
P1 P 0.271 0.771 0.500
P2 P 0.729 0.229 0.500
# ΔH_f (0 K): -0.6109 eV per atom
# Mass density: 7.4 Mg/m³

(2)
# PmGdRh, optimized geometry, DFT PBE
data_PmGdRh
_space_group_name_H-M_alt 'P 1'
_space_group_IT_number 1
_space_group_name_Hall 'P 1'
_cell_length_a 4.563
_cell_length_b 4.563
_cell_length_c 4.294
_cell_angle_alpha 90.00
_cell_angle_beta 90.00
_cell_angle_gamma 120.00
loop_
_atom_site_label
_atom_site_type_symbol
_atom_site_fract_x
_atom_site_fract_y
_atom_site_fract_z
Pm1 Pm 0.000 0.000 0.000
Gd1 Gd 0.667 0.333 0.536
Rh1 Rh 0.333 0.667 0.288
# ΔH_f (0 K): -0.3792 eV per atom
# Mass density: 8.7 Mg/m³

(3)
# ErPa3S6, optimized geometry, DFT PBE
data_ErPa3S6
_space_group_name_H-M_alt 'P 1'
_space_group_IT_number 1
_space_group_name_Hall 'P 1'
_cell_length_a 10.944
_cell_length_b 3.824
_cell_length_c 11.380
_cell_angle_alpha 90.00
_cell_angle_beta 107.15
_cell_angle_gamma 90.00
loop_
_atom_site_label
_atom_site_type_symbol
_atom_site_fract_x
_atom_site_fract_y
_atom_site_fract_z
Er1 Er 0.043 0.250 0.191
Er2 Er 0.957 0.750 0.809
Pa1 Pa 0.147 0.250 0.570
Pa2 Pa 0.317 0.750 0.997
Pa3 Pa 0.421 0.250 0.336
Pa4 Pa 0.579 0.750 0.664
Pa5 Pa 0.683 0.250 0.003
Pa6 Pa 0.853 0.750 0.430
S1 S 0.083 0.750 0.387
S2 S 0.114 0.250 0.963
S3 S 0.192 0.750 0.748
S4 S 0.248 0.750 0.215
S5 S 0.397 0.250 0.572
S6 S 0.491 0.250 0.125
S7 S 0.509 0.750 0.875
S8 S 0.603 0.750 0.428
S9 S 0.752 0.250 0.785
S10 S 0.808 0.250 0.252
S11 S 0.886 0.750 0.037
S12 S 0.917 0.250 0.613
# Formation energy (no corrections): -1.632 eV per atom
# Mass density: 7.7 Mg/m³

(4)
# Th2BeCu, optimized geometry, DFT PBE
data_Th2BeCu
_space_group_name_H-M_alt 'P 1'
_space_group_IT_number 1
_space_group_name_Hall 'P 1'
_cell_length_a 10.796
_cell_length_b 10.796
_cell_length_c 10.796
_cell_angle_alpha 17.82
_cell_angle_beta 17.82
_cell_angle_gamma 17.82
loop_
_atom_site_label
_atom_site_type_symbol
_atom_site_fract_x
_atom_site_fract_y
_atom_site_fract_z
Th1 Th 0.094 0.094 0.094
Th2 Th 0.906 0.906 0.906
Be1 Be 0.000 0.000 0.000
Cu1 Cu 0.500 0.500 0.500
# ΔH_f (0 K): 0.7966 eV per atom
# Mass density: 8.7 Mg/m³

(5)
# LaVN2, optimized geometry, DFT PBE
data_LaVN2
_space_group_name_H-M_alt 'P 1'
_space_group_IT_number 1
_space_group_name_Hall 'P 1'
_cell_length_a 5.604
_cell_length_b 5.604
_cell_length_c 6.646
_cell_angle_alpha 90.00
_cell_angle_beta 90.00
_cell_angle_gamma 120.00
loop_
_atom_site_label
_atom_site_type_symbol
_atom_site_fract_x
_atom_site_fract_y
_atom_site_fract_z
La1 La 0.000 0.658 0.167
La2 La 0.342 0.342 0.500
La3 La 0.658 0.000 0.833
V1 V 0.000 0.603 0.667
V2 V 0.397 0.397 0.000
V3 V 0.603 0.000 0.333
N1 N 0.138 0.462 0.858
N2 N 0.324 0.862 0.524
N3 N 0.462 0.138 0.142
N4 N 0.538 0.676 0.191
N5 N 0.676 0.538 0.809
N6 N 0.862 0.324 0.476
# Formation energy (no corrections): -1.217 eV per atom
# Mass density: 6.0 Mg/m³

(6)
# MgAl2As, optimized geometry, DFT PBE
data_MgAl2As
_space_group_name_H-M_alt 'P 1'
_space_group_IT_number 1
_space_group_name_Hall 'P 1'
_cell_length_a 5.368
_cell_length_b 5.368
_cell_length_c 5.226
_cell_angle_alpha 107.83
_cell_angle_beta 107.83
_cell_angle_gamma 31.57
loop_
_atom_site_label
_atom_site_type_symbol
_atom_site_fract_x
_atom_site_fract_y
_atom_site_fract_z
Mg1 Mg 0.000 0.000 0.000
Al1 Al 0.519 0.519 0.501
Al2 Al 0.771 0.771 0.380
As1 As 0.249 0.249 0.891
# ΔH_f (0 K): 0.0080 eV per atom
# Mass density: 3.4 Mg/m³

(7)
# HfTi5Rh6, optimized geometry, DFT PBE
data_HfTi5Rh6
_space_group_name_H-M_alt 'P 1'
_space_group_IT_number 1
_space_group_name_Hall 'P 1'
_cell_length_a 7.459
_cell_length_b 7.459
_cell_length_c 7.459
_cell_angle_alpha 146.84
_cell_angle_beta 124.75
_cell_angle_gamma 65.98
loop_
_atom_site_label
_atom_site_type_symbol
_atom_site_fract_x
_atom_site_fract_y
_atom_site_fract_z
Hf1 Hf 0.000 0.000 0.000
Ti1 Ti 0.157 0.657 0.500
Ti2 Ti 0.320 0.320 0.000
Ti3 Ti 0.500 0.000 0.500
Ti4 Ti 0.680 0.680 0.000
Ti5 Ti 0.843 0.343 0.500
Rh1 Rh 0.101 0.832 0.270
Rh2 Rh 0.280 0.500 0.780
Rh3 Rh 0.438 0.168 0.270
Rh4 Rh 0.562 0.832 0.730
Rh5 Rh 0.720 0.500 0.220
Rh6 Rh 0.899 0.168 0.730
# ΔH_f (0 K): -0.7721 eV per atom
# Mass density: 9.3 Mg/m³

(8)
# CsDyAg2, optimized geometry, DFT PBE
data_CsDyAg2
_space_group_name_H-M_alt 'P 1'
_space_group_IT_number 1
_space_group_name_Hall 'P 1'
_cell_length_a 3.855
_cell_length_b 3.855
_cell_length_c 8.678
_cell_angle_alpha 90.00
_cell_angle_beta 90.00
_cell_angle_gamma 90.00
loop_
_atom_site_label
_atom_site_type_symbol
_atom_site_fract_x
_atom_site_fract_y
_atom_site_fract_z
Cs1 Cs 0.000 0.000 0.000
Dy1 Dy 0.000 0.000 0.500
Ag1 Ag 0.500 0.500 0.331
Ag2 Ag 0.500 0.500 0.669
# ΔH_f (0 K): -0.0560 eV per atom
# Mass density: 6.6 Mg/m³

no.,VASP energy (eV per atom)
1,-7.895
2,-9.107
3,-7.413
4,-4.869
5,-8.891
6,-3.424
7,-8.567
8,-2.846